Record 1
Here is a relaxed KThCuSeS2 crystal from the Open Quantum Materials Database. Energies are from PBE.

Lattice parameters (Å, degrees): 7.444 7.444 10.849 90.00 90.00 147.92
Fractional positions:
K 0.243 0.757 0.750
K 0.757 0.243 0.250
Th 0.000 0.000 0.000
Th 0.000 0.000 0.500
Cu 0.471 0.529 0.250
Cu 0.529 0.471 0.750
Se 0.077 0.923 0.250
Se 0.923 0.077 0.750
S 0.380 0.620 0.072
S 0.380 0.620 0.428
S 0.620 0.380 0.572
S 0.620 0.380 0.928

Values from the calculation:
For the calculated total energy, the calculation gives -5.430 eV/atom. For the total moment, the calculation gives 0.00 μB per formula unit. The space group is Cmcm (63).

***

Record 2
Here is a relaxed KCuWSeS2 crystal from the Open Quantum Materials Database. Energies are from PBE.

Lattice parameters (Å, degrees): 7.537 7.537 9.635 90.00 90.00 151.40
Fractional positions:
K 0.234 0.766 0.750
K 0.766 0.234 0.250
Cu 0.472 0.528 0.250
Cu 0.528 0.472 0.750
W 0.000 0.000 0.000
W 0.000 0.000 0.500
Se 0.079 0.921 0.250
Se 0.921 0.079 0.750
S 0.392 0.608 0.051
S 0.392 0.608 0.449
S 0.608 0.392 0.551
S 0.608 0.392 0.949

Values from the calculation:
For the calculated total energy, the calculation gives -5.398 eV/atom. For the total moment, the calculation gives 1.76 μB per formula unit. The space group is Cmcm (63).

***

Record 3
Here is a relaxed KCuWSe2S crystal from the Open Quantum Materials Database. Energies are from PBE.

Lattice parameters (Å, degrees): 7.575 7.575 9.555 90.00 90.00 150.81
Fractional positions:
K 0.245 0.755 0.750
K 0.755 0.245 0.250
Cu 0.028 0.972 0.250
Cu 0.972 0.028 0.750
W 0.500 0.500 0.000
W 0.500 0.500 0.500
Se 0.119 0.881 0.043
Se 0.119 0.881 0.457
Se 0.881 0.119 0.543
Se 0.881 0.119 0.957
S 0.440 0.560 0.250
S 0.560 0.440 0.750

Values from the calculation:
For the calculated total energy, the calculation gives -5.245 eV/atom. For the total moment, the calculation gives 1.88 μB per formula unit. The space group is Cmcm (63).

***

Record 4
Here is a relaxed KZrCuSe2S crystal from the Open Quantum Materials Database. Energies are from PBE.

Lattice parameters (Å, degrees): 7.562 7.562 9.972 90.00 90.00 150.39
Fractional positions:
K 0.238 0.762 0.750
K 0.762 0.238 0.250
Zr 0.500 0.500 0.000
Zr 0.500 0.500 0.500
Cu 0.031 0.969 0.250
Cu 0.969 0.031 0.750
Se 0.127 0.873 0.051
Se 0.127 0.873 0.449
Se 0.873 0.127 0.551
Se 0.873 0.127 0.949
S 0.441 0.559 0.250
S 0.559 0.441 0.750

Values from the calculation:
For the calculated total energy, the calculation gives -5.254 eV/atom. For the total moment, the calculation gives 0.00 μB per formula unit. The space group is Cmcm (63).

***

Record 5
Here is a relaxed KCuSiTeS2 crystal from the Open Quantum Materials Database. Energies are from PBE.

Lattice parameters (Å, degrees): 8.016 8.016 10.554 90.00 90.00 155.08
Fractional positions:
K 0.236 0.764 0.750
K 0.764 0.236 0.250
Cu 0.439 0.561 0.250
Cu 0.561 0.439 0.750
Si 0.000 0.000 0.000
Si 0.000 0.000 0.500
Te 0.068 0.932 0.250
Te 0.932 0.068 0.750
S 0.398 0.602 0.049
S 0.398 0.602 0.451
S 0.602 0.398 0.549
S 0.602 0.398 0.951

Values from the calculation:
For the calculated total energy, the calculation gives -4.010 eV/atom. The space group is Cmcm (63).

***

Record 6
Here is a relaxed KCu3SnS4 crystal from the Open Quantum Materials Database. Energies are from PBE.

Lattice parameters (Å, degrees): 6.015 6.015 6.015 90.00 90.00 90.00
Fractional positions:
K 0.000 0.000 0.000
Cu 0.000 0.500 0.500
Cu 0.500 0.000 0.500
Cu 0.500 0.500 0.000
Sn 0.500 0.500 0.500
S 0.273 0.273 0.273
S 0.273 0.727 0.727
S 0.727 0.273 0.727
S 0.727 0.727 0.273

Values from the calculation:
The space group is P-43m (215). The energy above the most stable polymorph in this dataset comes out at 0.1662 eV per atom.

***

Record 7
Here is a relaxed K2CuSnS4 crystal from the Open Quantum Materials Database. Energies are from PBE.

Lattice parameters (Å, degrees): 10.180 8.006 7.202 90.00 134.97 90.00
Fractional positions:
K 0.000 0.000 0.000
K 0.000 0.249 0.500
K 0.500 0.500 0.000
K 0.500 0.749 0.500
Cu 0.000 0.750 0.500
Cu 0.500 0.250 0.500
Sn 0.000 0.500 0.000
Sn 0.500 0.000 0.000
S 0.158 0.653 0.911
S 0.247 0.347 0.405
S 0.253 0.847 0.595
S 0.342 0.153 0.089
S 0.658 0.153 0.911
S 0.747 0.847 0.405
S 0.753 0.347 0.595
S 0.842 0.653 0.089

Values from the calculation:
For the calculated total energy, the calculation gives -4.007 eV/atom. The space group is C2 (5).

***

Record 8
Here is a relaxed KCuSnS3 crystal from the Open Quantum Materials Database. Energies are from PBE.

Lattice parameters (Å, degrees): 8.592 8.592 8.388 101.20 101.20 26.12
Fractional positions:
K 0.142 0.142 0.063
K 0.858 0.858 0.937
Cu 0.483 0.483 0.265
Cu 0.517 0.517 0.735
Sn 0.165 0.165 0.570
Sn 0.835 0.835 0.430
S 0.000 0.000 0.500
S 0.325 0.325 0.641
S 0.341 0.341 0.226
S 0.500 0.500 0.000
S 0.659 0.659 0.774
S 0.675 0.675 0.359

Values from the calculation:
For the calculated total energy, the calculation gives -3.988 eV/atom. The space group is C2/m (12).

***

Record 9
Here is a relaxed KCu3SnS4 crystal from the Open Quantum Materials Database. Energies are from PBE.

Lattice parameters (Å, degrees): 5.702 7.505 9.721 90.00 103.58 90.00
Fractional positions:
K 0.202 0.250 0.371
K 0.798 0.750 0.629
Cu 0.303 0.570 0.024
Cu 0.303 0.930 0.024
Cu 0.414 0.750 0.260
Cu 0.586 0.250 0.740
Cu 0.697 0.070 0.976
Cu 0.697 0.430 0.976
Sn 0.121 0.250 0.782
Sn 0.879 0.750 0.218
S 0.028 0.250 0.018
S 0.198 0.750 0.427
S 0.385 0.514 0.791
S 0.385 0.986 0.791
S 0.615 0.014 0.209
S 0.615 0.486 0.209
S 0.802 0.250 0.573
S 0.972 0.750 0.982

Values from the calculation:
The space group is P2_1/m (11). The energy above the most stable polymorph in this dataset comes out at 0.0000 eV per atom.

***

Record 10
Here is a relaxed KCuSnTe2S crystal from the Open Quantum Materials Database. Energies are from PBE.

Lattice parameters (Å, degrees): 7.168 7.168 11.403 90.00 90.00 146.13
Fractional positions:
K 0.209 0.791 0.750
K 0.791 0.209 0.250
Cu 0.057 0.943 0.250
Cu 0.943 0.057 0.750
Sn 0.500 0.500 0.000
Sn 0.500 0.500 0.500
Te 0.153 0.847 0.043
Te 0.153 0.847 0.457
Te 0.847 0.153 0.543
Te 0.847 0.153 0.957
S 0.480 0.520 0.250
S 0.520 0.480 0.750

Values from the calculation:
For the calculated total energy, the calculation gives -3.627 eV/atom. The space group is Cmcm (63).

***

Record 11
Here is a relaxed KCuSnTeS2 crystal from the Open Quantum Materials Database. Energies are from PBE.

Lattice parameters (Å, degrees): 7.985 7.985 11.157 90.00 90.00 152.41
Fractional positions:
K 0.228 0.772 0.750
K 0.772 0.228 0.250
Cu 0.456 0.544 0.250
Cu 0.544 0.456 0.750
Sn 0.000 0.000 0.000
Sn 0.000 0.000 0.500
Te 0.077 0.923 0.250
Te 0.923 0.077 0.750
S 0.390 0.610 0.068
S 0.390 0.610 0.432
S 0.610 0.390 0.568
S 0.610 0.390 0.932

Values from the calculation:
For the calculated total energy, the calculation gives -3.852 eV/atom. The space group is Cmcm (63).

***

Record 12
Here is a relaxed K3Ta2Cu3S8 crystal from the Open Quantum Materials Database. Energies are from PBE.

Lattice parameters (Å, degrees): 12.169 12.169 14.317 119.52 119.52 26.46
Fractional positions:
K 0.000 0.000 0.000
K 0.000 0.000 0.500
K 0.268 0.348 0.905
K 0.348 0.268 0.405
K 0.652 0.732 0.595
K 0.732 0.652 0.095
Ta 0.157 0.592 0.220
Ta 0.408 0.843 0.280
Ta 0.592 0.157 0.720
Ta 0.843 0.408 0.780
Cu 0.095 0.660 0.719
Cu 0.278 0.722 0.250
Cu 0.340 0.905 0.781
Cu 0.660 0.095 0.219
Cu 0.722 0.278 0.750
Cu 0.905 0.340 0.281
S 0.043 0.139 0.874
S 0.124 0.189 0.686
S 0.139 0.043 0.374
S 0.189 0.124 0.186
S 0.261 0.320 0.609
S 0.320 0.261 0.109
S 0.442 0.480 0.840
S 0.480 0.442 0.340
S 0.520 0.558 0.660
S 0.558 0.520 0.160
S 0.680 0.739 0.891
S 0.739 0.680 0.391
S 0.811 0.876 0.814
S 0.861 0.957 0.626
S 0.876 0.811 0.314
S 0.957 0.861 0.126

Values from the calculation:
For the calculated total energy, the calculation gives -5.432 eV/atom. For the total moment, the calculation gives 0.00 μB per formula unit. The space group is C2/c (15).

***

Record 13
Here is a relaxed KTaCuTeS2 crystal from the Open Quantum Materials Database. Energies are from PBE.

Lattice parameters (Å, degrees): 8.098 8.098 10.069 90.00 90.00 153.97
Fractional positions:
K 0.215 0.785 0.750
K 0.785 0.215 0.250
Ta 0.000 0.000 0.000
Ta 0.000 0.000 0.500
Cu 0.475 0.525 0.250
Cu 0.525 0.475 0.750
Te 0.092 0.908 0.250
Te 0.908 0.092 0.750
S 0.398 0.602 0.061
S 0.398 0.602 0.439
S 0.602 0.398 0.561
S 0.602 0.398 0.939

Values from the calculation:
For the calculated total energy, the calculation gives -5.390 eV/atom. For the total moment, the calculation gives 0.28 μB per formula unit. The space group is Cmcm (63).

***

Record 14
Here is a relaxed KCuTcS3 crystal from the Open Quantum Materials Database. Energies are from PBE.

Lattice parameters (Å, degrees): 12.861 3.495 10.366 90.00 90.00 90.00
Fractional positions:
K 0.140 0.250 0.008
K 0.360 0.750 0.508
K 0.640 0.250 0.492
K 0.860 0.750 0.992
Cu 0.210 0.750 0.256
Cu 0.290 0.250 0.756
Cu 0.710 0.750 0.244
Cu 0.790 0.250 0.744
Tc 0.031 0.750 0.604
Tc 0.469 0.250 0.104
Tc 0.531 0.750 0.896
Tc 0.969 0.250 0.396
S 0.038 0.750 0.243
S 0.127 0.250 0.501
S 0.181 0.750 0.760
S 0.319 0.250 0.260
S 0.373 0.750 0.001
S 0.462 0.250 0.743
S 0.538 0.750 0.257
S 0.627 0.250 0.999
S 0.681 0.750 0.740
S 0.819 0.250 0.240
S 0.873 0.750 0.499
S 0.962 0.250 0.757

Values from the calculation:
For the total moment, the calculation gives 0.61 μB per formula unit. The space group is Pnma (62). The energy above the most stable polymorph in this dataset comes out at 0.0000 eV per atom.

***

Record 15
Here is a relaxed KCuTcS3 crystal from the Open Quantum Materials Database. Energies are from PBE.

Lattice parameters (Å, degrees): 7.680 3.654 9.439 90.00 112.46 90.00
Fractional positions:
K 0.243 0.250 0.227
K 0.757 0.750 0.773
Cu 0.420 0.250 0.893
Cu 0.580 0.750 0.107
Tc 0.188 0.750 0.670
Tc 0.812 0.250 0.330
S 0.034 0.750 0.387
S 0.256 0.750 0.939
S 0.385 0.250 0.647
S 0.615 0.750 0.353
S 0.744 0.250 0.061
S 0.966 0.250 0.613

Values from the calculation:
For the total moment, the calculation gives 0.01 μB per formula unit. The space group is P2_1/m (11). The energy above the most stable polymorph in this dataset comes out at 0.0027 eV per atom.

***

Record 16
Here is a relaxed KCuTcS3 crystal from the Open Quantum Materials Database. Energies are from PBE.

Lattice parameters (Å, degrees): 7.352 7.352 9.410 90.00 90.00 151.65
Fractional positions:
K 0.249 0.751 0.750
K 0.751 0.249 0.250
Cu 0.035 0.965 0.250
Cu 0.965 0.035 0.750
Tc 0.500 0.500 0.000
Tc 0.500 0.500 0.500
S 0.115 0.885 0.043
S 0.115 0.885 0.457
S 0.436 0.564 0.250
S 0.564 0.436 0.750
S 0.885 0.115 0.543
S 0.885 0.115 0.957

Values from the calculation:
For the total moment, the calculation gives 2.48 μB per formula unit. The space group is Cmcm (63). The energy above the most stable polymorph in this dataset comes out at 0.0384 eV per atom.

***

Record 17
Here is a relaxed KCuTcTe2S crystal from the Open Quantum Materials Database. Energies are from PBE.

Lattice parameters (Å, degrees): 8.163 8.163 9.873 90.00 90.00 152.72
Fractional positions:
K 0.239 0.761 0.750
K 0.761 0.239 0.250
Cu 0.024 0.976 0.250
Cu 0.976 0.024 0.750
Tc 0.500 0.500 0.000
Tc 0.500 0.500 0.500
Te 0.122 0.878 0.041
Te 0.122 0.878 0.459
Te 0.878 0.122 0.541
Te 0.878 0.122 0.959
S 0.446 0.554 0.250
S 0.554 0.446 0.750

Values from the calculation:
For the calculated total energy, the calculation gives -4.545 eV/atom. For the total moment, the calculation gives 2.52 μB per formula unit. The space group is Cmcm (63).

***

Record 18
Here is a relaxed K3Cu8Te2S4 crystal from the Open Quantum Materials Database. Energies are from PBE.

Lattice parameters (Å, degrees): 9.260 9.260 9.879 103.23 103.23 24.49
Fractional positions:
K 0.000 0.000 0.000
K 0.171 0.171 0.277
K 0.829 0.829 0.723
Cu 0.018 0.018 0.643
Cu 0.203 0.203 0.930
Cu 0.391 0.391 0.218
Cu 0.425 0.425 0.486
Cu 0.575 0.575 0.514
Cu 0.609 0.609 0.782
Cu 0.797 0.797 0.070
Cu 0.982 0.982 0.357
Te 0.166 0.166 0.638
Te 0.834 0.834 0.362
S 0.341 0.341 0.984
S 0.472 0.472 0.720
S 0.528 0.528 0.280
S 0.659 0.659 0.016

Values from the calculation:
For the calculated total energy, the calculation gives -3.757 eV/atom. The space group is C2/m (12).

***

Record 19
Here is a relaxed KCu2TeS crystal from the Open Quantum Materials Database. Energies are from PBE.

Lattice parameters (Å, degrees): 3.877 3.877 14.952 90.00 90.00 90.00
Fractional positions:
K 0.000 0.000 0.000
K 0.500 0.500 0.500
Cu 0.000 0.500 0.296
Cu 0.000 0.500 0.796
Cu 0.500 0.000 0.296
Cu 0.500 0.000 0.796
Te 0.000 0.000 0.674
Te 0.500 0.500 0.174
S 0.000 0.000 0.384
S 0.500 0.500 0.884

Values from the calculation:
For the calculated total energy, the calculation gives -3.673 eV/atom. The space group is I4mm (107).